Record 1
The following is a DFT calculation (PBE) of a relaxed NaIn2GeI5 crystal.

Cell lengths 10.1680, 10.1680, 16.3417 Å; angles 90.00, 90.00, 154.36 degrees
Atoms (fractional coordinates):
Na 0.0472 0.9528 0.5000
Na 0.9528 0.0472 0.0000
In 0.3723 0.6277 0.3339
In 0.4147 0.5853 0.6933
In 0.5853 0.4147 0.1933
In 0.6277 0.3723 0.8339
Ge 0.2720 0.7280 0.0829
Ge 0.7280 0.2720 0.5829
I 0.0010 0.9990 0.8239
I 0.1203 0.8797 0.0413
I 0.2075 0.7925 0.4616
I 0.2415 0.7585 0.7139
I 0.4207 0.5793 0.1214
I 0.5793 0.4207 0.6214
I 0.7585 0.2415 0.2139
I 0.7925 0.2075 0.9616
I 0.8797 0.1203 0.5413
I 0.9990 0.0010 0.3239

Summary:
V (Å³ per cell): 731
Formation energy from raw total energies (eV/atom): -0.5584
Electronic total energy (eV/atom): -2.69

***

Record 2
The following is a DFT calculation (PBE) of a relaxed SnPtAu2 crystal.

Cell lengths 7.6865, 7.6865, 5.4251 Å; angles 90.00, 90.00, 90.00 degrees
Atoms (fractional coordinates):
Sn 0.0000 0.0000 0.0000
Sn 0.0000 0.5000 0.2500
Sn 0.5000 0.0000 0.7500
Sn 0.5000 0.5000 0.5000
Pt 0.0000 0.0000 0.5000
Pt 0.0000 0.5000 0.7500
Pt 0.5000 0.0000 0.2500
Pt 0.5000 0.5000 0.0000
Au 0.2440 0.2500 0.6250
Au 0.2500 0.7440 0.8750
Au 0.2500 0.7560 0.3750
Au 0.2560 0.2500 0.1250
Au 0.7440 0.7500 0.1250
Au 0.7500 0.2440 0.3750
Au 0.7500 0.2560 0.8750
Au 0.7560 0.7500 0.6250

Summary:
V (Å³ per cell): 321
Energy of formation (eV per formula unit): -0.1
Electronic total energy (eV/atom): -4.18

***

Record 3
The following is a DFT calculation (PBE) of a relaxed AlSbPb3 crystal.

Cell lengths 5.9182, 5.9182, 5.9182 Å; angles 90.00, 90.00, 90.00 degrees
Atoms (fractional coordinates):
Al 0.0000 0.0000 0.0000
Sb 0.5000 0.5000 0.5000
Pb 0.0000 0.5000 0.5000
Pb 0.5000 0.0000 0.5000
Pb 0.5000 0.5000 0.0000

Summary:
V (Å³ per cell): 207
Formation energy from raw total energies (eV/atom): 0.7666
Electronic total energy (eV/atom): -3.03

***

Record 4
The following is a DFT calculation (PBE) of a relaxed CsLiLa2Cu crystal.

Cell lengths 5.7315, 5.7315, 5.6705 Å; angles 90.00, 90.00, 90.00 degrees
Atoms (fractional coordinates):
Cs 0.0000 0.0000 0.0000
Li 0.5000 0.5000 0.0000
La 0.0000 0.5000 0.5000
La 0.5000 0.0000 0.5000
Cu 0.5000 0.5000 0.5000

Summary:
V (Å³ per cell): 186
Energy of formation (eV per formula unit): 1.8
Electronic total energy (eV/atom): -2.98

***

Record 5
The following is a DFT calculation (PBE) of a relaxed YP2Br crystal.

Cell lengths 15.8833, 3.9420, 3.6992 Å; angles 90.00, 102.66, 90.00 degrees
Atoms (fractional coordinates):
Y 0.0000 0.0000 0.0000
Y 0.5000 0.5000 0.0000
P 0.0636 0.5000 0.5597
P 0.1463 0.5000 0.1374
P 0.5636 0.0000 0.5597
P 0.6463 0.0000 0.1374
Br 0.3666 0.0000 0.8743
Br 0.8666 0.5000 0.8743

Summary:
V (Å³ per cell): 226
Formation energy from raw total energies (eV/atom): -0.8726
Electronic total energy (eV/atom): -5.61

***

Record 6
The following is a DFT calculation (PBE) of a relaxed Tb6Dy2In3 crystal.

Cell lengths 17.0342, 17.0342, 17.0342 Å; angles 164.70, 164.70, 21.71 degrees
Atoms (fractional coordinates):
Tb 0.1267 0.6267 0.5000
Tb 0.2129 0.2129 0.0000
Tb 0.3733 0.8733 0.5000
Tb 0.6267 0.1267 0.5000
Tb 0.7871 0.7871 0.0000
Tb 0.8733 0.3733 0.5000
Dy 0.0444 0.0444 0.0000
Dy 0.9556 0.9556 0.0000
In 0.3065 0.3065 0.0000
In 0.5000 0.5000 0.0000
In 0.6935 0.6935 0.0000

Summary:
V (Å³ per cell): 344
Energy of formation (eV per formula unit): 0.1
Electronic total energy (eV/atom): -4.10

***

Record 7
The following is a DFT calculation (PBE) of a relaxed Sc4Ga5Cu2 crystal.

Cell lengths 6.8591, 3.2117, 8.9404 Å; angles 90.00, 94.34, 90.00 degrees
Atoms (fractional coordinates):
Sc 0.1720 0.0000 0.3808
Sc 0.2639 0.0000 0.9405
Sc 0.7361 0.0000 0.0595
Sc 0.8280 0.0000 0.6192
Ga 0.1849 0.5000 0.6635
Ga 0.4368 0.5000 0.1970
Ga 0.5000 0.5000 0.5000
Ga 0.5632 0.5000 0.8030
Ga 0.8151 0.5000 0.3365
Cu 0.0626 0.5000 0.1339
Cu 0.9374 0.5000 0.8661

Summary:
V (Å³ per cell): 196
Energy of formation (eV per formula unit): -5.2
Electronic total energy (eV/atom): -4.89

***

Record 8
The following is a DFT calculation (PBE) of a relaxed TaGaTe2Pd crystal.

Cell lengths 5.1974, 5.1974, 4.8721 Å; angles 90.00, 90.00, 90.00 degrees
Atoms (fractional coordinates):
Ta 0.0000 0.0000 0.0000
Ga 0.0000 0.0000 0.5000
Te 0.0000 0.5000 0.5000
Te 0.5000 0.0000 0.5000
Pd 0.5000 0.5000 0.0000

Summary:
V (Å³ per cell): 132
Formation energy from raw total energies (eV/atom): 1.1871
Electronic total energy (eV/atom): -4.08

***

Record 9
The following is a DFT calculation (PBE) of a relaxed Ba2PaInS5 crystal.

Cell lengths 10.5011, 10.5011, 11.8060 Å; angles 90.00, 90.00, 157.00 degrees
Atoms (fractional coordinates):
Ba 0.1154 0.8846 0.5000
Ba 0.1157 0.8843 0.0824
Ba 0.8843 0.1157 0.5824
Ba 0.8846 0.1154 0.0000
Pa 0.2235 0.7765 0.7912
Pa 0.7765 0.2235 0.2912
In 0.4892 0.5108 0.2912
In 0.5108 0.4892 0.7912
S 0.0969 0.9031 0.7914
S 0.2835 0.7165 0.1449
S 0.2833 0.7167 0.4374
S 0.3513 0.6487 0.7911
S 0.5000 0.5000 0.0421
S 0.5000 0.5000 0.5421
S 0.6487 0.3513 0.2911
S 0.7165 0.2835 0.6449
S 0.7167 0.2833 0.9374
S 0.9031 0.0969 0.2914

Summary:
V (Å³ per cell): 509
Formation energy from raw total energies (eV/atom): -1.5750
Electronic total energy (eV/atom): -5.65

***

Record 10
The following is a DFT calculation (PBE) of a relaxed PuGaSnGe crystal.

Cell lengths 4.2397, 4.3718, 4.6136 Å; angles 90.00, 90.00, 90.00 degrees
Atoms (fractional coordinates):
Pu 0.0000 0.0000 0.0000
Ga 0.5000 0.0000 0.5000
Sn 0.0000 0.5000 0.5000
Ge 0.5000 0.5000 0.0000

Summary:
V (Å³ per cell): 86
Energy of formation (eV per formula unit): -1.5
Electronic total energy (eV/atom): -6.87

***

Record 11
The following is a DFT calculation (PBE) of a relaxed PmVRu2 crystal.

Cell lengths 3.1141, 3.1141, 7.0892 Å; angles 90.00, 90.00, 90.00 degrees
Atoms (fractional coordinates):
Pm 0.0000 0.0000 0.0000
V 0.0000 0.0000 0.5000
Ru 0.5000 0.5000 0.3020
Ru 0.5000 0.5000 0.6980

Summary:
V (Å³ per cell): 69
Energy of formation (eV per formula unit): -0.5
Electronic total energy (eV/atom): -8.22

***

Record 12
The following is a DFT calculation (PBE) of a relaxed PuMg2Zn crystal.

Cell lengths 3.1197, 3.1197, 8.8601 Å; angles 90.00, 90.00, 90.00 degrees
Atoms (fractional coordinates):
Pu 0.0000 0.0000 0.0000
Mg 0.5000 0.5000 0.2932
Mg 0.5000 0.5000 0.7068
Zn 0.0000 0.0000 0.5000

Summary:
V (Å³ per cell): 86
Energy of formation (eV per formula unit): 0.1
Electronic total energy (eV/atom): -4.68

***

| no. | Fermi-level density of states (states/eV/cell) |
| --- | --- |
| 1 | 0.00 |
| 2 | 6.39 |
| 3 | 4.61 |
| 4 | 6.61 |
| 5 | 2.56 |
| 6 | 12.58 |
| 7 | 8.34 |
| 8 | 5.32 |
| 9 | 5.66 |
| 10 | 8.49 |
| 11 | 4.02 |
| 12 | 7.48 |